A plane-wave DFT calculation with GGA-PBE was carried out for a relaxed structure of InIBr2.

abc: 4.218 6.138 7.951
angles: 111.51 105.20 90.01
Space group P1 (No. 1)
Asymmetric unit:
In1 0.000 0.000 0.000 [1 per cell]
I1 0.164 0.957 0.333 [1 per cell]
Br1 0.492 0.269 0.985 [1 per cell]
Br2 0.849 0.660 0.693 [1 per cell]

A plane-wave DFT calculation with GGA-PBE was carried out for a relaxed structure of InIBr3.

abc: 5.534 5.534 5.534
angles: 90.00 90.00 90.00
Space group Pm-3m (No. 221)
Asymmetric unit:
In1 0.000 0.000 0.000 [1 per cell]
I1 0.500 0.500 0.500 [1 per cell]
Br1 0.000 0.000 0.500 [3 per cell]

A plane-wave DFT calculation with GGA-PBE was carried out for a relaxed structure of In2I2Br.

abc: 7.078 7.391 9.627
angles: 80.59 78.52 70.10
Space group P1 (No. 1)
Asymmetric unit:
In1 0.000 0.000 0.000 [1 per cell]
In2 0.068 0.094 0.443 [1 per cell]
In3 0.353 0.344 0.712 [1 per cell]
In4 0.668 0.713 0.329 [1 per cell]
I1 0.013 0.338 0.073 [1 per cell]
I2 0.575 0.153 0.417 [1 per cell]
I3 0.641 0.972 0.961 [1 per cell]
I4 0.896 0.484 0.599 [1 per cell]
Br1 0.128 0.735 0.202 [1 per cell]
Br2 0.252 0.917 0.767 [1 per cell]

A plane-wave DFT calculation with GGA-PBE was carried out for a relaxed structure of InIBr.

abc: 16.338 4.179 7.920
angles: 90.00 113.84 90.00
Space group Cm (No. 8)
Asymmetric unit:
In1 0.000 0.000 0.000 [2 per cell]
In2 0.047 0.000 0.396 [2 per cell]
I1 0.119 0.000 0.809 [2 per cell]
I2 0.411 0.000 0.359 [2 per cell]
Br1 0.171 0.500 0.436 [2 per cell]
Br2 0.388 0.000 0.824 [2 per cell]

A plane-wave DFT calculation with GGA-PBE was carried out for a relaxed structure of InIBr2.

abc: 6.942 12.562 7.432
angles: 90.00 104.12 90.00
Space group C2/m (No. 12)
Asymmetric unit:
In1 0.000 0.167 0.000 [4 per cell]
I1 0.214 0.000 0.243 [4 per cell]
Br1 0.233 0.319 0.217 [8 per cell]

A plane-wave DFT calculation with GGA-PBE was carried out for a relaxed structure of In2I2Br.

abc: 8.540 4.354 12.125
angles: 90.00 103.90 90.00
Space group Pm (No. 6)
Asymmetric unit:
In1 0.000 0.000 0.000 [1 per cell]
In2 0.047 0.500 0.385 [1 per cell]
In3 0.515 0.500 0.187 [1 per cell]
In4 0.585 0.500 0.589 [1 per cell]
I1 0.177 0.500 0.911 [1 per cell]
I2 0.282 0.000 0.565 [1 per cell]
I3 0.711 0.000 0.385 [1 per cell]
I4 0.729 0.000 0.813 [1 per cell]
Br1 0.215 0.000 0.203 [1 per cell]
Br2 0.849 0.500 0.093 [1 per cell]

A plane-wave DFT calculation with GGA-PBE was carried out for a relaxed structure of In4IBr5.

abc: 10.807 11.366 6.724
angles: 90.00 90.00 90.00
Space group Pmmn (No. 59, origin choice 2)
Asymmetric unit:
In1 0.016 0.250 0.008 [4 per cell]
In2 0.250 0.519 0.456 [4 per cell]
I1 0.250 0.750 0.890 [2 per cell]
Br1 0.044 0.074 0.741 [8 per cell]
Br2 0.250 0.250 0.198 [2 per cell]

A plane-wave DFT calculation with GGA-PBE was carried out for a relaxed structure of In4I4Br.

abc: 15.633 4.750 11.731
angles: 90.00 119.40 90.00
Space group C2/m (No. 12)
Asymmetric unit:
In1 0.087 0.000 0.395 [4 per cell]
In2 0.216 0.500 0.807 [4 per cell]
I1 0.106 0.000 0.894 [4 per cell]
I2 0.193 0.500 0.310 [4 per cell]
Br1 0.000 0.500 0.500 [2 per cell]

A plane-wave DFT calculation with GGA-PBE was carried out for a relaxed structure of InIBr2.

abc: 7.443 7.989 8.139
angles: 67.11 63.97 63.66
Space group P1 (No. 1)
Asymmetric unit:
In1 0.000 0.000 0.000 [1 per cell]
In2 0.463 0.856 0.216 [1 per cell]
I1 0.057 0.256 0.666 [1 per cell]
I2 0.826 0.776 0.908 [1 per cell]
Br1 0.157 0.169 0.148 [1 per cell]
Br2 0.281 0.679 0.104 [1 per cell]
Br3 0.423 0.634 0.536 [1 per cell]
Br4 0.645 0.069 0.277 [1 per cell]

A plane-wave DFT calculation with GGA-PBE was carried out for a relaxed structure of In5I5Br2.

abc: 11.306 11.306 8.125
angles: 90.00 90.00 90.00
Space group I4mm (No. 107)
Asymmetric unit:
In1 0.000 0.000 0.000 [2 per cell]
In2 0.000 0.293 0.419 [8 per cell]
I1 0.000 0.000 0.657 [2 per cell]
I2 0.179 0.179 0.082 [8 per cell]
Br1 0.000 0.500 0.189 [4 per cell]

| no. | raw total energy (eV/atom) |
| --- | --- |
| 1 | -2.556 |
| 2 | -2.093 |
| 3 | -2.587 |
| 4 | -2.555 |
| 5 | -2.611 |
| 6 | -2.567 |
| 7 | -2.700 |
| 8 | -2.556 |
| 9 | -2.594 |
| 10 | -2.573 |